[1]
The following is a DFT calculation (GGA-PBE) of crystalline Dy4ZnHg3 at its relaxed geometry.

Values from the calculation:
E_form	-3.55	eV/f.u.
D(E_F)	1.1005	states/eV/atom
distance to the lowest polymorph of the same formula	0.000	eV/atom
DFT total energy	-24.14	eV per cell

a b c (Å): 3.664 3.664 14.871
angles (deg): 90.00 90.00 90.00
Atoms (fractional coordinates):
Zn  0.500  0.500  0.000
Hg  0.500  0.500  0.243
Hg  0.500  0.500  0.500
Hg  0.500  0.500  0.757
Dy  0.000  0.000  0.885
Dy  0.000  0.000  0.115
Dy  0.000  0.000  0.372
Dy  0.000  0.000  0.628

=====

[2]
The following is a DFT calculation (GGA-PBE) of crystalline Dy3Zn2Hg6 at its relaxed geometry.

Values from the calculation:
E_form	-2.05	eV/f.u.
D(E_F)	0.9845	states/eV/atom
DFT total energy	-20.22	eV per cell

a b c (Å): 4.208 4.208 15.599
angles (deg): 97.75 97.75 90.00
Atoms (fractional coordinates):
Dy  0.000  0.000  0.000
Dy  0.829  0.829  0.659
Dy  0.171  0.171  0.341
Zn  0.361  0.361  0.721
Zn  0.639  0.639  0.279
Hg  0.077  0.577  0.153
Hg  0.577  0.077  0.153
Hg  0.923  0.423  0.847
Hg  0.423  0.923  0.847
Hg  0.727  0.727  0.454
Hg  0.273  0.273  0.546

=====

[3]
The following is a DFT calculation (GGA-PBE) of crystalline Dy3Zn8Hg3 at its relaxed geometry.

Values from the calculation:
E_form	-3.96	eV/f.u.
D(E_F)	0.5228	states/eV/atom
DFT total energy	-28.86	eV per cell

a b c (Å): 4.428 8.401 8.401
angles (deg): 67.53 74.72 74.72
Atoms (fractional coordinates):
Dy  0.500  0.500  0.500
Dy  0.801  0.199  0.199
Dy  0.199  0.801  0.801
Zn  0.648  0.085  0.619
Zn  0.352  0.915  0.381
Zn  0.648  0.619  0.085
Zn  0.352  0.381  0.915
Zn  0.830  0.800  0.540
Zn  0.170  0.200  0.460
Zn  0.830  0.540  0.800
Zn  0.170  0.460  0.200
Hg  0.500  0.000  0.000
Hg  0.000  0.780  0.220
Hg  0.000  0.220  0.780

=====

Number 2 is which compound? Dy3Zn2Hg6